# GGA-PBE LiDyAgCl5, optimized geometry
data_LiDyAgCl5
_chemical_formula_sum 'Li2 Dy2 Ag2 Cl10'
_cell_length_a 7.362
_cell_length_b 7.362
_cell_length_c 9.820
_cell_angle_alpha 101.19
_cell_angle_beta 101.19
_cell_angle_gamma 118.49
_symmetry_space_group_name_H-M 'P 1'
_symmetry_Int_Tables_number 1
loop_
_symmetry_equiv_pos_as_xyz
'x,y,z'
loop_
_atom_site_label
_atom_site_type_symbol
_atom_site_fract_x
_atom_site_fract_y
_atom_site_fract_z
Dy1 Dy 0.000 0.000 0.500
Dy2 Dy 0.000 0.000 0.000
Cl1 Cl 0.755 0.571 0.445
Cl2 Cl 0.995 0.652 0.856
Cl3 Cl 0.917 0.083 0.750
Cl4 Cl 0.245 0.429 0.555
Cl5 Cl 0.348 0.005 0.644
Cl6 Cl 0.571 0.755 0.945
Cl7 Cl 0.429 0.245 0.055
Cl8 Cl 0.005 0.348 0.144
Cl9 Cl 0.083 0.917 0.250
Cl10 Cl 0.652 0.995 0.356
Li1 Li 0.717 0.283 0.250
Li2 Li 0.283 0.717 0.750
Ag1 Ag 0.570 0.430 0.750
Ag2 Ag 0.430 0.570 0.250
# E: -64.19 eV per cell
# uncorrected formation energy: -13.496 eV/f.u.
# magnetization: 0.0 Bohr magnetons per cell

---

# GGA-PBE Ac2Zn3Ge5, optimized geometry
data_Ac2Zn3Ge5
_chemical_formula_sum 'Ac4 Zn6 Ge10'
_cell_length_a 6.724
_cell_length_b 8.919
_cell_length_c 8.919
_cell_angle_alpha 66.20
_cell_angle_beta 67.85
_cell_angle_gamma 67.85
_symmetry_space_group_name_H-M 'P 1'
_symmetry_Int_Tables_number 1
loop_
_symmetry_equiv_pos_as_xyz
'x,y,z'
loop_
_atom_site_label
_atom_site_type_symbol
_atom_site_fract_x
_atom_site_fract_y
_atom_site_fract_z
Ac1 Ac 0.125 0.627 0.123
Ac2 Ac 0.875 0.373 0.877
Ac3 Ac 0.375 0.877 0.373
Ac4 Ac 0.625 0.123 0.627
Ge1 Ge 0.750 0.500 0.500
Ge2 Ge 0.382 0.241 0.995
Ge3 Ge 0.499 0.251 0.251
Ge4 Ge 0.618 0.759 0.005
Ge5 Ge 0.882 0.995 0.241
Ge6 Ge 0.501 0.749 0.749
Ge7 Ge 0.999 0.251 0.251
Ge8 Ge 0.250 0.500 0.500
Ge9 Ge 0.001 0.749 0.749
Ge10 Ge 0.118 0.005 0.759
Zn1 Zn 0.126 0.255 0.493
Zn2 Zn 0.250 0.000 0.000
Zn3 Zn 0.626 0.493 0.255
Zn4 Zn 0.874 0.745 0.507
Zn5 Zn 0.374 0.507 0.745
Zn6 Zn 0.750 0.000 0.000
# E: -77.91 eV per cell
# excess energy over the best structure of this formula in the dataset: 0.0 meV per atom
# magnetization: 0.0 Bohr magnetons per cell

---

# GGA-PBE SnCSO2, optimized geometry
data_SnCSO2
_chemical_formula_sum 'Sn1 C1 S1 O2'
_cell_length_a 3.734
_cell_length_b 3.976
_cell_length_c 3.734
_cell_angle_alpha 90.00
_cell_angle_beta 90.00
_cell_angle_gamma 90.00
_symmetry_space_group_name_H-M 'P 1'
_symmetry_Int_Tables_number 1
loop_
_symmetry_equiv_pos_as_xyz
'x,y,z'
loop_
_atom_site_label
_atom_site_type_symbol
_atom_site_fract_x
_atom_site_fract_y
_atom_site_fract_z
O1 O 0.500 0.000 0.000
O2 O 0.000 0.000 0.500
Sn1 Sn 0.500 0.500 0.500
C1 C 0.000 0.000 0.000
S1 S 0.000 0.500 0.000
# E: -24.19 eV per cell
# uncorrected formation energy: 3.080 eV/f.u.
# magnetization: 0.0 Bohr magnetons per cell

---

# GGA-PBE NdDyHo2S4, optimized geometry
data_NdDyHo2S4
_chemical_formula_sum 'Nd1 Dy1 Ho2 S4'
_cell_length_a 3.891
_cell_length_b 6.862
_cell_length_c 6.834
_cell_angle_alpha 71.11
_cell_angle_beta 90.00
_cell_angle_gamma 90.00
_symmetry_space_group_name_H-M 'P 1'
_symmetry_Int_Tables_number 1
loop_
_symmetry_equiv_pos_as_xyz
'x,y,z'
loop_
_atom_site_label
_atom_site_type_symbol
_atom_site_fract_x
_atom_site_fract_y
_atom_site_fract_z
Dy1 Dy 0.000 0.500 0.500
S1 S 0.000 0.762 0.739
S2 S 0.500 0.243 0.746
S3 S 0.000 0.238 0.261
S4 S 0.500 0.757 0.254
Ho1 Ho 0.500 0.000 0.500
Ho2 Ho 0.000 0.000 0.000
Nd1 Nd 0.500 0.500 0.000
# E: -50.93 eV per cell
# uncorrected formation energy: -15.893 eV/f.u.
# magnetization: 0.0 Bohr magnetons per cell

---

# GGA-PBE CeCdPtO, optimized geometry
data_CeCdPtO
_chemical_formula_sum 'Ce1 Cd1 Pt1 O1'
_cell_length_a 3.173
_cell_length_b 3.173
_cell_length_c 7.703
_cell_angle_alpha 101.88
_cell_angle_beta 101.88
_cell_angle_gamma 90.00
_symmetry_space_group_name_H-M 'P 1'
_symmetry_Int_Tables_number 1
loop_
_symmetry_equiv_pos_as_xyz
'x,y,z'
loop_
_atom_site_label
_atom_site_type_symbol
_atom_site_fract_x
_atom_site_fract_y
_atom_site_fract_z
Ce1 Ce 0.912 0.912 0.825
O1 O 0.354 0.354 0.708
Pt1 Pt 0.563 0.563 0.125
Cd1 Cd 0.183 0.183 0.366
# E: -23.48 eV per cell
# uncorrected formation energy: -5.635 eV/f.u.
# magnetization: 0.4 Bohr magnetons per cell

---

# GGA-PBE Li2NdSn2Au2, optimized geometry
data_Li2NdSn2Au2
_chemical_formula_sum 'Li2 Nd1 Sn2 Au2'
_cell_length_a 4.628
_cell_length_b 4.628
_cell_length_c 8.518
_cell_angle_alpha 74.24
_cell_angle_beta 74.24
_cell_angle_gamma 60.00
_symmetry_space_group_name_H-M 'P 1'
_symmetry_Int_Tables_number 1
loop_
_symmetry_equiv_pos_as_xyz
'x,y,z'
loop_
_atom_site_label
_atom_site_type_symbol
_atom_site_fract_x
_atom_site_fract_y
_atom_site_fract_z
Sn1 Sn 0.258 0.258 0.227
Sn2 Sn 0.742 0.742 0.773
Li1 Li 0.860 0.860 0.420
Li2 Li 0.140 0.140 0.580
Nd1 Nd 0.000 0.000 0.000
Au1 Au 0.563 0.563 0.311
Au2 Au 0.437 0.437 0.689
# E: -27.16 eV per cell
# magnetization: 0.0 Bohr magnetons per cell

---

# GGA-PBE CaCo2P, optimized geometry
data_CaCo2P
_chemical_formula_sum 'Ca1 Co2 P1'
_cell_length_a 4.400
_cell_length_b 4.400
_cell_length_c 4.400
_cell_angle_alpha 60.00
_cell_angle_beta 60.00
_cell_angle_gamma 60.00
_symmetry_space_group_name_H-M 'P 1'
_symmetry_Int_Tables_number 1
loop_
_symmetry_equiv_pos_as_xyz
'x,y,z'
loop_
_atom_site_label
_atom_site_type_symbol
_atom_site_fract_x
_atom_site_fract_y
_atom_site_fract_z
Co1 Co 0.250 0.250 0.250
Co2 Co 0.000 0.000 0.000
P1 P 0.750 0.750 0.750
Ca1 Ca 0.500 0.500 0.500
# E: -20.81 eV per cell
# magnetization: 3.3 Bohr magnetons per cell

---

# GGA-PBE SrGa3Pd3, optimized geometry
data_SrGa3Pd3
_chemical_formula_sum 'Sr2 Ga6 Pd6'
_cell_length_a 6.839
_cell_length_b 6.839
_cell_length_c 8.324
_cell_angle_alpha 65.75
_cell_angle_beta 65.75
_cell_angle_gamma 60.00
_symmetry_space_group_name_H-M 'P 1'
_symmetry_Int_Tables_number 1
loop_
_symmetry_equiv_pos_as_xyz
'x,y,z'
loop_
_atom_site_label
_atom_site_type_symbol
_atom_site_fract_x
_atom_site_fract_y
_atom_site_fract_z
Ga1 Ga 0.135 0.840 0.714
Ga2 Ga 0.160 0.689 0.286
Ga3 Ga 0.865 0.160 0.286
Ga4 Ga 0.689 0.865 0.286
Ga5 Ga 0.311 0.135 0.714
Ga6 Ga 0.840 0.311 0.714
Sr1 Sr 0.334 0.334 0.998
Sr2 Sr 0.666 0.666 0.002
Pd1 Pd 0.563 0.745 0.636
Pd2 Pd 0.255 0.944 0.364
Pd3 Pd 0.056 0.563 0.636
Pd4 Pd 0.745 0.056 0.636
Pd5 Pd 0.437 0.255 0.364
Pd6 Pd 0.944 0.437 0.364
# E: -59.53 eV per cell
# excess energy over the best structure of this formula in the dataset: 75.4 meV per atom
# magnetization: 0.0 Bohr magnetons per cell